[1]
Cs4RbTl5 (PBE, optimized geometry); size of the total moment = 0.0 μB per formula unit; D(E_F) = 12.01 states/eV per cell
1.0
7.2345 0.0000 0.0000
0.0000 10.7567 0.0000
0.0000 0.0000 12.7313
Tl Cs Rb
10 8 2
Direct
0.6457 0.6537 0.7940 Tl
0.6457 0.3463 0.7940 Tl
0.5130 0.5000 0.0000 Tl
0.6457 0.3463 0.2060 Tl
0.3543 0.1537 0.7060 Tl
0.3543 0.1537 0.2940 Tl
0.3543 0.8463 0.2940 Tl
0.3543 0.8463 0.7060 Tl
0.4870 0.0000 0.5000 Tl
0.6457 0.6537 0.2060 Tl
0.9281 0.2230 0.5000 Cs
0.0719 0.7230 0.0000 Cs
0.8651 0.0000 0.2362 Cs
0.0719 0.2770 0.0000 Cs
0.8651 0.0000 0.7638 Cs
0.1349 0.5000 0.2638 Cs
0.9281 0.7770 0.5000 Cs
0.1349 0.5000 0.7362 Cs
0.5251 0.5000 0.5000 Rb
0.4749 0.0000 0.0000 Rb

***

[2]
Cs2Rb2Tl15 (PBE, optimized geometry); energy above the most stable polymorph in this dataset = 0.0000 eV per atom; size of the total moment = 0.0 μB per formula unit; D(E_F) = 11.88 states/eV per cell
1.0
0.3229 -6.7403 5.7805
5.3239 -4.9989 -5.0614
7.4814 2.7888 3.8989
Tl Rb Cs
15 2 2
Direct
0.6456 0.1630 0.6456 Tl
0.6963 0.3037 0.0000 Tl
0.6963 0.0000 0.3037 Tl
0.0000 0.0000 0.5000 Tl
0.0000 0.3037 0.6963 Tl
0.5000 0.0000 0.0000 Tl
0.0000 0.6963 0.3037 Tl
0.3037 0.0000 0.6963 Tl
0.6456 0.6456 0.1630 Tl
0.8370 0.3544 0.3544 Tl
0.3544 0.3544 0.8370 Tl
0.1630 0.6456 0.6456 Tl
0.3037 0.6963 0.0000 Tl
0.3544 0.8370 0.3544 Tl
0.0000 0.5000 0.0000 Tl
0.8926 0.8926 0.8926 Rb
0.1074 0.1074 0.1074 Rb
0.3501 0.3501 0.3501 Cs
0.6499 0.6499 0.6499 Cs

***

[3]
Cs3RbTl (PBE, optimized geometry); energy above the most stable polymorph in this dataset = 0.4325 eV per atom; size of the total moment = 0.9 μB per formula unit; D(E_F) = 8.34 states/eV per cell
1.0
-4.3838 -4.0835 -5.8021
4.1747 -6.9993 1.7718
-5.7369 -1.9730 5.7231
Cs Tl Rb
3 1 1
Direct
0.5000 0.0000 0.0000 Cs
0.0000 0.0000 0.5000 Cs
0.0000 0.5000 0.0000 Cs
0.5000 0.5000 0.5000 Tl
0.0000 0.0000 0.0000 Rb

***

[4]
CsRb14Tl27 (PBE, optimized geometry); size of the total moment = 0.0 μB per formula unit; D(E_F) = 17.78 states/eV per cell
1.0
10.6001 0.0000 0.0000
-5.3001 9.1799 0.0000
0.0000 0.0000 18.0235
Tl Rb Cs
27 14 1
Direct
0.3333 0.6667 0.6569 Tl
0.0000 0.7869 0.0000 Tl
0.0000 0.0000 0.8504 Tl
0.8263 0.2896 0.5000 Tl
0.3333 0.6667 0.3431 Tl
0.0000 0.0000 0.1496 Tl
0.0000 0.6173 0.3990 Tl
0.6173 0.0000 0.3990 Tl
0.5367 0.7104 0.5000 Tl
0.6667 0.3333 0.6569 Tl
0.2896 0.8263 0.5000 Tl
0.4633 0.1737 0.5000 Tl
0.0000 0.2847 0.0916 Tl
0.2847 0.0000 0.9084 Tl
0.7869 0.0000 0.0000 Tl
0.2847 0.0000 0.0916 Tl
0.3827 0.3827 0.6010 Tl
0.7104 0.5367 0.5000 Tl
0.7153 0.7153 0.9084 Tl
0.7153 0.7153 0.0916 Tl
0.3827 0.3827 0.3990 Tl
0.6667 0.3333 0.3431 Tl
0.0000 0.6173 0.6010 Tl
0.1737 0.4633 0.5000 Tl
0.2132 0.2132 0.0000 Tl
0.0000 0.2847 0.9084 Tl
0.6173 0.0000 0.6010 Tl
0.2721 0.0000 0.3143 Rb
0.3877 0.3877 0.8157 Rb
0.0000 0.6123 0.8157 Rb
0.3877 0.3877 0.1843 Rb
0.6123 0.0000 0.1843 Rb
0.0000 0.2721 0.6857 Rb
0.0000 0.2721 0.3143 Rb
0.3333 0.6667 0.0000 Rb
0.7279 0.7279 0.3143 Rb
0.6123 0.0000 0.8157 Rb
0.7279 0.7279 0.6857 Rb
0.6667 0.3333 0.0000 Rb
0.2721 0.0000 0.6857 Rb
0.0000 0.6123 0.1843 Rb
0.0000 0.0000 0.5000 Cs

***

[5]
Cs9Rb6Tl (PBE, optimized geometry); size of the total moment = 0.0 μB per formula unit; D(E_F) = 17.19 states/eV per cell
1.0
10.4144 0.0000 -5.7658
-3.1922 9.9131 -5.7658
0.8570 1.1763 13.8362
Cs Tl Rb
9 1 6
Direct
0.4568 0.0333 0.6794 Cs
0.6461 0.4568 0.6794 Cs
0.0333 0.2225 0.6794 Cs
0.3539 0.5432 0.3206 Cs
0.5000 0.5000 0.0000 Cs
0.7775 0.3539 0.3206 Cs
0.9667 0.7775 0.3206 Cs
0.2225 0.6461 0.6794 Cs
0.5432 0.9667 0.3206 Cs
0.0000 0.0000 0.0000 Tl
0.0945 0.7016 0.0000 Rb
0.7016 0.9055 0.0000 Rb
0.8306 0.8306 0.6612 Rb
0.1694 0.1694 0.3388 Rb
0.2984 0.0945 0.0000 Rb
0.9055 0.2984 0.0000 Rb

***

[6]
Cs2Rb6Tl (PBE, optimized geometry); size of the total moment = 0.0 μB per formula unit; D(E_F) = 17.33 states/eV per cell
1.0
11.8428 0.7626 0.3146
-4.7428 10.8784 0.3146
0.3105 0.5090 11.6448
Rb Tl Cs
12 2 4
Direct
0.9410 0.1665 0.0516 Rb
0.2248 0.2914 0.3136 Rb
0.9913 0.3867 0.6898 Rb
0.7086 0.7752 0.1864 Rb
0.8335 0.0590 0.4484 Rb
0.0087 0.6133 0.3102 Rb
0.6133 0.0087 0.8102 Rb
0.0590 0.8335 0.9484 Rb
0.7752 0.7086 0.6864 Rb
0.3867 0.9913 0.1898 Rb
0.2914 0.2248 0.8136 Rb
0.1665 0.9410 0.5516 Rb
0.0469 0.9531 0.2500 Tl
0.9531 0.0469 0.7500 Tl
0.6028 0.3278 0.4814 Cs
0.3972 0.6722 0.5186 Cs
0.3278 0.6028 0.9814 Cs
0.6722 0.3972 0.0186 Cs

***

[7]
Cs2RbTl6 (PBE, optimized geometry); size of the total moment = 0.0 μB per formula unit; D(E_F) = 4.72 states/eV per cell
1.0
-1.7956 6.0964 2.3520
-3.3951 -1.0581 -5.7682
-3.7034 -5.2746 7.2167
Tl Rb Cs
6 1 2
Direct
0.7902 0.5115 0.8949 Tl
0.1514 0.0246 0.1760 Tl
0.2098 0.4885 0.1051 Tl
0.3834 0.1047 0.8949 Tl
0.8486 0.9754 0.8240 Tl
0.6166 0.8953 0.1051 Tl
0.5000 0.0000 0.5000 Rb
0.2142 0.4564 0.6707 Cs
0.7858 0.5436 0.3293 Cs

***

[8]
Cs4Rb2Tl (PBE, optimized geometry); size of the total moment = 0.0 μB per formula unit; D(E_F) = 9.12 states/eV per cell
1.0
-5.5848 1.0573 4.9521
-5.0348 -0.3735 -5.5984
-6.1811 -11.6892 1.2630
Cs Tl Rb
4 1 2
Direct
0.8351 0.8351 0.3298 Cs
0.0000 0.5000 0.0000 Cs
0.5000 0.0000 0.0000 Cs
0.1649 0.1649 0.6702 Cs
0.0000 0.0000 0.0000 Tl
0.3625 0.3625 0.2751 Rb
0.6375 0.6375 0.7249 Rb

***

Number 1: calculated formation energy -29 meV per atom. Number 2: calculated formation energy -29 meV per atom. Number 3: calculated formation energy 400 meV per atom. Number 4: calculated formation energy -118 meV per atom. Number 5: calculated formation energy 7 meV per atom. Number 6: calculated formation energy 8 meV per atom. Number 7: calculated formation energy -75 meV per atom. Number 8: calculated formation energy 62 meV per atom.